# Ti2CrPb3O9 GGA+U relaxed
data_Ti2CrPb3O9
_space_group_name_H-M_alt 'P -3 m 1'
_space_group_IT_number 164
_space_group_name_Hall '-P 3 2"'
_cell_length_a 5.5837
_cell_length_b 5.5837
_cell_length_c 6.8606
_cell_angle_alpha 90.00
_cell_angle_beta 90.00
_cell_angle_gamma 120.00
loop_
_atom_site_label
_atom_site_type_symbol
_atom_site_fract_x
_atom_site_fract_y
_atom_site_fract_z
Ti1 Ti 0.3333 0.6667 0.1675
Cr1 Cr 0.0000 0.0000 0.5000
Pb1 Pb 0.0000 0.0000 0.0000
Pb2 Pb 0.3333 0.6667 0.6628
O1 O 0.0000 0.5000 0.0000
O2 O 0.1664 0.3327 0.3340
# Density, g/cm³: 8.19
# Magnetization, μB/f.u.: 1.997
# Calculated total energy, eV per cell: -108.4
# Volume, Å³/atom: 12.35